1.
Compound: Y4HoTm2
Source: Alexandria
Functional: PBE-GGA
Structure: relaxed

a = 3.534 Å, b = 9.373 Å, c = 8.501 Å
α = 121.69°, β = 78.00°, γ = 112.16°
Sites, in units of the cell vectors:
1 Y 0.410 0.707 0.592
2 Y 0.808 0.169 0.722
3 Y 0.590 0.293 0.408
4 Y 0.192 0.831 0.278
5 Ho 0.000 0.000 0.000
6 Tm 0.359 0.430 0.140
7 Tm 0.641 0.570 0.860

Results
As for the total moment: 0.000 μB/atom. The density of states at the Fermi level comes out at 12.38 states/eV/cell. For the energy, the calculation gives -39.14 eV per cell. Its formation energy is 3.20 kJ/mol of atoms. For the energy above the most stable polymorph in this dataset, the calculation gives 0.000 eV per atom. The calculated volume comes out at 31.706 Å³ per atom.

***

2.
Compound: Y6Ho5Tm
Source: Alexandria
Functional: PBE-GGA
Structure: relaxed

a = 11.750 Å, b = 6.143 Å, c = 6.137 Å
α = 59.97°, β = 85.02°, γ = 80.00°
Sites, in units of the cell vectors:
1 Y 0.750 0.083 0.333
2 Y 0.250 0.584 0.333
3 Y 0.250 0.250 0.000
4 Y 0.750 0.750 0.000
5 Y 0.750 0.416 0.667
6 Y 0.250 0.917 0.667
7 Ho 0.500 0.167 0.667
8 Ho 0.000 0.333 0.333
9 Ho 0.500 0.500 0.000
10 Ho 0.000 0.667 0.667
11 Ho 0.500 0.833 0.333
12 Tm 0.000 0.000 0.000

Results
As for the total moment: 0.000 μB/atom. The density of states at the Fermi level comes out at 17.64 states/eV/cell. For the energy, the calculation gives -65.85 eV per cell. Its formation energy is 2.36 kJ/mol of atoms. The calculated volume comes out at 31.476 Å³ per atom.

***

3.
Compound: Y12Ho2Tm5
Source: Alexandria
Functional: PBE-GGA
Structure: relaxed

a = 6.486 Å, b = 8.834 Å, c = 11.920 Å
α = 115.47°, β = 99.11°, γ = 81.57°
Sites, in units of the cell vectors:
1 Y 0.944 0.112 0.269
2 Y 0.032 0.631 0.872
3 Y 0.666 0.702 0.075
4 Y 0.223 0.554 0.458
5 Y 0.704 0.690 0.357
6 Y 0.526 0.932 0.637
7 Y 0.474 0.068 0.363
8 Y 0.777 0.446 0.542
9 Y 0.296 0.310 0.643
10 Y 0.968 0.369 0.128
11 Y 0.334 0.298 0.925
12 Y 0.056 0.888 0.731
13 Ho 0.735 0.016 0.960
14 Ho 0.265 0.984 0.040
15 Tm 0.490 0.672 0.783
16 Tm 0.196 0.710 0.201
17 Tm 0.000 0.000 0.500
18 Tm 0.804 0.290 0.799
19 Tm 0.510 0.328 0.217

Results
As for the total moment: 0.000 μB/atom. The density of states at the Fermi level comes out at 29.81 states/eV/cell. For the energy, the calculation gives -107.40 eV per cell. Its formation energy is 8.56 kJ/mol of atoms. For the energy above the most stable polymorph in this dataset, the calculation gives 0.000 eV per atom. The calculated volume comes out at 31.918 Å³ per atom.

***

4.
Compound: Y2HoTm
Source: Alexandria
Functional: PBE-GGA
Structure: relaxed

a = 3.532 Å, b = 5.004 Å, c = 7.084 Å
α = 90.00°, β = 90.00°, γ = 90.00°
Sites, in units of the cell vectors:
1 Y 0.000 0.000 0.998
2 Y 0.500 0.500 0.251
3 Ho 0.000 0.000 0.502
4 Tm 0.500 0.500 0.749

Results
As for the total moment: 0.000 μB/atom. The density of states at the Fermi level comes out at 5.25 states/eV/cell. For the energy, the calculation gives -21.88 eV per cell. Its formation energy is 2.40 kJ/mol of atoms. For the energy above the most stable polymorph in this dataset, the calculation gives 0.024 eV per atom. The calculated volume comes out at 31.296 Å³ per atom.

***

5.
Compound: Y19Ho6Tm4
Source: Alexandria
Functional: PBE-GGA
Structure: relaxed

a = 10.776 Å, b = 10.776 Å, c = 10.776 Å
α = 109.47°, β = 109.47°, γ = 109.47°
Sites, in units of the cell vectors:
1 Y 0.739 0.000 0.739
2 Y 0.261 0.000 0.261
3 Y 0.261 0.261 0.000
4 Y 0.739 0.739 0.000
5 Y 0.000 0.739 0.739
6 Y 0.000 0.261 0.261
7 Y 0.000 0.000 0.000
8 Y 0.202 0.216 0.543
9 Y 0.798 0.342 0.015
10 Y 0.673 0.658 0.457
11 Y 0.015 0.798 0.342
12 Y 0.327 0.784 0.985
13 Y 0.543 0.202 0.216
14 Y 0.985 0.327 0.784
15 Y 0.457 0.673 0.658
16 Y 0.784 0.985 0.327
17 Y 0.342 0.015 0.798
18 Y 0.216 0.543 0.202
19 Y 0.658 0.457 0.673
20 Ho 0.375 0.500 0.875
21 Ho 0.625 0.500 0.125
22 Ho 0.125 0.625 0.500
23 Ho 0.875 0.375 0.500
24 Ho 0.500 0.875 0.375
25 Ho 0.500 0.125 0.625
26 Tm 0.000 0.000 0.643
27 Tm 0.000 0.643 0.000
28 Tm 0.357 0.357 0.357
29 Tm 0.643 0.000 0.000

Results
As for the total moment: 0.000 μB/atom. The density of states at the Fermi level comes out at 46.35 states/eV/cell. For the energy, the calculation gives -157.02 eV per cell. Its formation energy is 37.09 kJ/mol of atoms. The calculated volume comes out at 33.216 Å³ per atom.

***

6.
Compound: Y4Ho3Tm
Source: Alexandria
Functional: PBE-GGA
Structure: relaxed

a = 5.587 Å, b = 3.561 Å, c = 13.351 Å
α = 89.98°, β = 102.08°, γ = 90.00°
Sites, in units of the cell vectors:
1 Y 0.602 0.500 0.205
2 Y 0.398 0.500 0.795
3 Y 0.278 0.499 0.555
4 Y 0.722 0.501 0.445
5 Tm 0.500 0.000 0.000
6 Ho 0.000 0.500 0.000
7 Ho 0.845 0.000 0.690
8 Ho 0.155 0.000 0.310

Results
As for the total moment: 0.000 μB/atom. The density of states at the Fermi level comes out at 11.44 states/eV/cell. For the energy, the calculation gives -42.43 eV per cell. Its formation energy is 19.62 kJ/mol of atoms. For the energy above the most stable polymorph in this dataset, the calculation gives 0.203 eV per atom. The calculated volume comes out at 32.462 Å³ per atom.